Record 1
Material: MgSn2F11
Method: DFT, PBE-GGA
State: optimized geometry

Values from the calculation:
ΔE_f (raw) (eV/atom): -2.380

Lattice parameters (Å, degrees): 8.1974 8.1974 8.1974 121.09 106.29 101.72
Fractional positions:
1 Mg 0.2500 0.2500 0.0000
2 Mg 0.7500 0.7500 0.0000
3 Sn 0.2118 0.6127 0.8245
4 Sn 0.2882 0.1127 0.4009
5 Sn 0.7118 0.8873 0.5991
6 Sn 0.7882 0.3873 0.1755
7 F 0.0000 0.5000 0.5000
8 F 0.0060 0.9508 0.2156
9 F 0.0434 0.4541 0.1980
10 F 0.2164 0.3584 0.5747
11 F 0.2352 0.4508 0.9448
12 F 0.2439 0.0459 0.5893
13 F 0.2561 0.8454 0.8020
14 F 0.2648 0.2097 0.2156
15 F 0.2836 0.8584 0.1420
16 F 0.4566 0.6546 0.4107
17 F 0.4940 0.7097 0.9448
18 F 0.5000 0.0000 0.5000
19 F 0.5060 0.2903 0.0552
20 F 0.5434 0.3454 0.5893
21 F 0.7164 0.1416 0.8580
22 F 0.7352 0.7903 0.7844
23 F 0.7439 0.1546 0.1980
24 F 0.7561 0.9541 0.4107
25 F 0.7648 0.5492 0.0552
26 F 0.7836 0.6416 0.4253
27 F 0.9566 0.5459 0.8020
28 F 0.9940 0.0492 0.7844


Record 2
Material: Li3PmY2Se6
Method: DFT, PBE-GGA
State: optimized geometry

Values from the calculation:
ΔE_f (raw) (eV/atom): -1.693

Lattice parameters (Å, degrees): 7.1157 7.1157 6.9283 99.84 99.84 120.01
Fractional positions:
1 Li 0.0000 0.0000 0.0000
2 Li 0.3319 0.6681 0.0000
3 Li 0.6681 0.3319 0.0000
4 Pm 0.5000 0.5000 0.5000
5 Y 0.1666 0.8334 0.5000
6 Y 0.8334 0.1666 0.5000
7 Se 0.0757 0.4152 0.2452
8 Se 0.2457 0.2457 0.7560
9 Se 0.4152 0.0757 0.2452
10 Se 0.5848 0.9243 0.7548
11 Se 0.7543 0.7543 0.2440
12 Se 0.9243 0.5848 0.7548


Record 3
Material: YFeOs
Method: DFT, PBE-GGA
State: optimized geometry

Values from the calculation:
ΔH_f (0 K) (eV/atom): -0.019
Energy relative to the lowest polymorph listed for this composition (meV/atom): 206

Lattice parameters (Å, degrees): 3.9603 3.9603 4.2810 90.00 90.00 120.00
Fractional positions:
1 Y 0.0000 0.0000 0.0000
2 Fe 0.3333 0.6667 0.5000
3 Os 0.6667 0.3333 0.5000


Record 4
Material: BeAlTe2
Method: DFT, PBE-GGA
State: optimized geometry

Values from the calculation:
Energy relative to the lowest polymorph listed for this composition (meV/atom): 559
ΔE_f (raw) (eV/atom): 0.469

Lattice parameters (Å, degrees): 7.0010 7.0010 7.0010 90.00 90.00 90.00
Fractional positions:
1 Be 0.0000 0.0000 0.0000
2 Be 0.0000 0.5000 0.5000
3 Be 0.5000 0.0000 0.5000
4 Be 0.5000 0.5000 0.0000
5 Al 0.0000 0.0000 0.5000
6 Al 0.0000 0.5000 0.0000
7 Al 0.5000 0.0000 0.0000
8 Al 0.5000 0.5000 0.5000
9 Te 0.2500 0.2500 0.2500
10 Te 0.2500 0.2500 0.7500
11 Te 0.2500 0.7500 0.2500
12 Te 0.2500 0.7500 0.7500
13 Te 0.7500 0.2500 0.2500
14 Te 0.7500 0.2500 0.7500
15 Te 0.7500 0.7500 0.2500
16 Te 0.7500 0.7500 0.7500


Record 5
Material: Dy2Ga8Rh
Method: DFT, PBE-GGA
State: optimized geometry

Values from the calculation:
ΔH_f (0 K) (eV/atom): -0.560

Lattice parameters (Å, degrees): 4.3033 4.3033 11.1622 90.00 90.00 90.00
Fractional positions:
1 Dy 0.0000 0.0000 0.1914
2 Dy 0.0000 0.0000 0.8086
3 Ga 0.0000 0.5000 0.0000
4 Ga 0.0000 0.5000 0.3784
5 Ga 0.0000 0.5000 0.6216
6 Ga 0.5000 0.0000 0.0000
7 Ga 0.5000 0.0000 0.3784
8 Ga 0.5000 0.0000 0.6216
9 Ga 0.5000 0.5000 0.1926
10 Ga 0.5000 0.5000 0.8074
11 Rh 0.0000 0.0000 0.5000


Record 6
Material: Mn2Au3
Method: DFT, PBE-GGA
State: optimized geometry

Values from the calculation:
ΔH_f (0 K) (eV/atom): -0.060
Energy relative to the lowest polymorph listed for this composition (meV/atom): 0

Lattice parameters (Å, degrees): 3.3523 3.3523 14.9888 90.00 90.00 90.00
Fractional positions:
1 Mn 0.0000 0.0000 0.1024
2 Mn 0.0000 0.0000 0.8976
3 Mn 0.5000 0.5000 0.3976
4 Mn 0.5000 0.5000 0.6024
5 Au 0.0000 0.0000 0.3052
6 Au 0.0000 0.0000 0.5000
7 Au 0.0000 0.0000 0.6948
8 Au 0.5000 0.5000 0.0000
9 Au 0.5000 0.5000 0.1948
10 Au 0.5000 0.5000 0.8052


Record 7
Material: Sb2PtPb
Method: DFT, PBE-GGA
State: optimized geometry

Values from the calculation:
ΔE_f (raw) (eV/atom): 0.220

Lattice parameters (Å, degrees): 7.3166 7.3166 7.3166 90.00 90.00 90.00
Fractional positions:
1 Sb 0.0000 0.0000 0.0000
2 Sb 0.0000 0.5000 0.5000
3 Sb 0.2500 0.2500 0.2500
4 Sb 0.2500 0.7500 0.7500
5 Sb 0.5000 0.0000 0.5000
6 Sb 0.5000 0.5000 0.0000
7 Sb 0.7500 0.2500 0.7500
8 Sb 0.7500 0.7500 0.2500
9 Pt 0.2500 0.2500 0.7500
10 Pt 0.2500 0.7500 0.2500
11 Pt 0.7500 0.2500 0.2500
12 Pt 0.7500 0.7500 0.7500
13 Pb 0.0000 0.0000 0.5000
14 Pb 0.0000 0.5000 0.0000
15 Pb 0.5000 0.0000 0.0000
16 Pb 0.5000 0.5000 0.5000


Record 8
Material: ReNiCl2
Method: DFT, PBE-GGA
State: optimized geometry

Values from the calculation:
Energy relative to the lowest polymorph listed for this composition (meV/atom): 1015
ΔE_f (raw) (eV/atom): 1.087

Lattice parameters (Å, degrees): 4.0981 4.0981 6.7596 90.00 90.00 90.00
Fractional positions:
1 Re 0.0000 0.0000 0.0000
2 Re 0.5000 0.5000 0.5000
3 Ni 0.0000 0.0000 0.5000
4 Ni 0.5000 0.5000 0.0000
5 Cl 0.0000 0.5000 0.2500
6 Cl 0.0000 0.5000 0.7500
7 Cl 0.5000 0.0000 0.2500
8 Cl 0.5000 0.0000 0.7500


In the order shown, the computed DOS(E_F) values come out to 12.33 0.00 2.68 9.32 5.58 3.82 16.42 7.39 states/eV per cell.